1.
# Ca4ZnIn

Ca4ZnIn after structural relaxation (GGA-PBE, Alexandria).

Properties
Theoretical density: 2.9 Mg/m³
Formation energy from the elements: -0.24 eV/atom
E above lowest polymorph: 0.000 eV per atom
Crystal system: monoclinic

a b c (Å): 9.4789 14.3481 6.0074
angles (deg): 90.00 109.90 90.00
Closest atoms and distances in Å follow each position.
Space group C2/c (No. 15)
Inequivalent atoms, fractional coordinates:
Ca 0.1187 0.1760 0.0646 x8  2 Zn 3.11-3.13, 2 In 3.33-3.46
Ca 0.1971 0.4256 0.3443 x8  2 Zn 3.25-3.29, 3 In 3.43-3.63, 1 Ca 3.52
Zn 0.0000 0.0005 0.2500 x4  2 Zn 3.00, 8 Ca 3.11-3.29
In 0.0000 0.3694 0.7500 x4  10 Ca 3.33-3.63

---

2.
# Li2GaBr6

Li2GaBr6 after structural relaxation (GGA-PBE, Alexandria).

Properties
Theoretical density: 3.9 Mg/m³
Crystal system: monoclinic
E_form (uncorrected): -0.902 eV/atom

a b c (Å): 6.8853 6.7123 12.5198
angles (deg): 90.00 123.33 90.00
Closest atoms and distances in Å follow each position.
Space group P2_1/c (No. 14)
Inequivalent atoms, fractional coordinates:
Li 0.1749 0.0019 0.1746 x4  6 Br 2.72-2.78
Ga 0.5000 0.0000 0.0000 x2  6 Br 2.56-2.58
Br 0.1642 0.2200 0.8342 x4  1 Ga 2.56, 2 Li 2.72-2.77
Br 0.1981 0.7256 0.5010 x4  1 Ga 2.58, 2 Li 2.73
Br 0.4938 0.2240 0.1638 x4  1 Ga 2.56, 2 Li 2.72-2.78

---

3.
# La3Nd5Y4

La3Nd5Y4 after structural relaxation (GGA-PBE, Alexandria).

Properties
Theoretical density: 6.0 Mg/m³
Formation energy from the elements: 0.02 eV/atom
E above lowest polymorph: 0.000 eV per atom
Crystal system: triclinic

a b c (Å): 6.3540 7.3030 8.9766
angles (deg): 89.94 89.96 89.91
Closest atoms and distances in Å follow each position.
Space group P-1 (No. 2)
Inequivalent atoms, fractional coordinates:
La 0.0000 0.0000 0.0000 x1  8 Nd 3.65-3.68, 2 La 3.66, 2 Y 3.68
La 0.1658 0.7496 0.3338 x2  6 Y 3.63-3.67, 5 Nd 3.66-3.67, 1 La 3.66
Nd 0.0000 0.5000 0.0000 x1  4 Nd 3.65-3.67, 4 La 3.65-3.67, 4 Y 3.66-3.67
Nd 0.3336 0.0007 0.6656 x2  5 Y 3.65-3.69, 3 Nd 3.65-3.68, 4 La 3.66-3.67
Nd 0.4988 0.2519 0.9992 x2  6 Nd 3.62-3.68, 3 Y 3.65-3.67, 3 La 3.67-3.68
Y 0.1687 0.2521 0.3344 x2  4 La 3.63-3.68, 3 Y 3.64-3.66, 5 Nd 3.65-3.69
Y 0.3337 0.5006 0.6659 x2  4 Y 3.64-3.66, 3 La 3.65-3.67, 5 Nd 3.65-3.67

---

4.
# CrAsRh2

CrAsRh2 after structural relaxation (GGA-PBE, Alexandria).

Properties
Theoretical density: 9.8 Mg/m³
Formation energy from the elements: -0.03 eV/atom
Crystal system: tetragonal

a b c (Å): 2.8142 2.8142 7.1190
angles (deg): 90.00 90.00 90.00
Closest atoms and distances in Å follow each position.
Space group P4/mmm (No. 123)
Inequivalent atoms, fractional coordinates:
Cr 0.0000 0.0000 0.0000 x1  8 Rh 2.61, 4 Cr 2.81
As 0.0000 0.0000 0.5000 x1  8 Rh 2.73, 4 As 2.81
Rh 0.5000 0.5000 0.2370 x2  4 Cr 2.61, 4 As 2.73, 4 Rh 2.81